La2InGe2 at its PBEsol-relaxed geometry. Source: Alexandria, functional meta-GGA SCAN.

Values from the calculation:
- total moment (μB/f.u.) = 0.000
- volume (Å³ per cell) = 266
- final energy (eV per atom) = -32.097
- energy above the most stable polymorph in this dataset (meV/atom) = 331
- energy of formation from the pure elements (kcal/mol of atoms) = -12.52

abc: 3.7695 3.7695 18.7469
angles: 90.00 90.00 90.00
Space group I4/mmm (No. 139)
One atom of each set of equivalent atoms:
La: 0.0000 0.0000 0.1146 (multiplicity 4)
In: 0.0000 0.0000 0.5000 (multiplicity 2)
Ge: 0.0000 0.5000 0.2500 (multiplicity 4)